The following is a PBE calculation of a geometry-optimized Nd3Fe3Sb7 structure, from OQMD.

```
data_Nd3Fe3Sb7
_symmetry_space_group_name_H-M 'P 63/m'
_symmetry_Int_Tables_number 176
_symmetry_space_group_name_Hall '-P 6c'
_cell_length_a 13.2754
_cell_length_b 13.2754
_cell_length_c 4.1915
_cell_angle_alpha 90.00
_cell_angle_beta 90.00
_cell_angle_gamma 120.00
loop_
_atom_site_label
_atom_site_type_symbol
_atom_site_fract_x
_atom_site_fract_y
_atom_site_fract_z
_atom_site_occupancy
Nd1 Nd 0.1830 0.7218 0.2500 1
Fe1 Fe 0.0515 0.1249 0.2500 1
Sb1 Sb 0.0235 0.4335 0.2500 1
Sb2 Sb 0.0822 0.2721 0.7500 1
Sb3 Sb 0.3333 0.6667 0.7500 1
```

Summary:
electronic total energy = -5.79 eV per atom